# 1
DFT (GGA-PBEsol) results for a relaxed structure of Fe3Co5.

The structure belongs to space group R3m (No. 160, hexagonal axes); the cell edges are 3.9342, 3.9342 and 19.2911 Å and the angles 90.00°, 90.00° and 120.00°. Symmetry generates all atoms from Fe at (0.0000, 0.0000, 0.0000), Fe at (0.0000, 0.0000, 0.1246), Fe at (0.0000, 0.0000, 0.6243), Co at (0.0000, 0.0000, 0.2477), Co at (0.0000, 0.0000, 0.3732), Co at (0.0000, 0.0000, 0.4987), Co at (0.0000, 0.0000, 0.7511) and Co at (0.0000, 0.0000, 0.8768).

The calculation puts the formation energy at 42.7 kJ/mol of formula units. Its total DFT energy (no corrections) is -8.1417 eV/atom.

---

# 2
DFT (GGA-PBEsol) results for a relaxed structure of SmAl10Ru2.

The structure belongs to space group Cmcm (No. 63); the cell edges are 9.047, 10.202 and 9.094 Å and the angles 90.00°, 90.00° and 90.00°. Symmetry generates all atoms from Sm at (0.000, 0.126, 0.250), Al at (0.000, 0.159, 0.601), Al at (0.000, 0.377, 0.050), Al at (0.150, 0.369, 0.750), Al at (0.224, 0.364, 0.250), Al at (0.226, 0.000, 0.000) and Ru at (0.250, 0.250, 0.000).

The calculation puts the formation energy at -638.9 kJ/mol of formula units. Its total DFT energy (no corrections) is -5.6134 eV/atom.

---

# 3
DFT (GGA-PBEsol) results for a relaxed structure of CdFeBr2.

The structure belongs to space group P4mm (No. 99); the cell edges are 3.275, 3.275 and 7.997 Å and the angles 90.00°, 90.00° and 90.00°. Symmetry generates all atoms from Cd at (0.000, 0.000, 0.000), Fe at (0.500, 0.500, 0.238), Br at (0.000, 0.000, 0.403) and Br at (0.500, 0.500, 0.780).

As for the formation energy from raw total energies: 0.079 eV/atom. Its total DFT energy (no corrections) is -3.3966 eV/atom. The energy above the most stable polymorph in this dataset is 0.041 eV per atom.

---

# 4
DFT (GGA-PBEsol) results for a relaxed structure of TiAsRhSe2.

The structure belongs to space group P4/mmm (No. 123); the cell edges are 4.730, 4.730 and 4.787 Å and the angles 90.00°, 90.00° and 90.00°. Symmetry generates all atoms from Ti at (0.000, 0.000, 0.000), As at (0.000, 0.000, 0.500), Rh at (0.500, 0.500, 0.500) and Se at (0.000, 0.500, 0.000).

As for the formation energy from raw total energies: 0.422 eV/atom. Its total DFT energy (no corrections) is -5.4314 eV/atom.